Record 1
The following is a DFT calculation (SCAN) of a PBEsol-optimized structure of Li2MgTe.

POSCAR file:
```
Li2MgTe
1.0
0.000 3.500 3.500
3.500 0.000 3.500
3.500 3.500 0.000
Li Mg Te
2 1 1
Direct
0.250 0.250 0.250
0.750 0.750 0.750
0.000 0.000 0.000
0.500 0.500 0.500
```

Values from the calculation:
The calculation puts the energy above the most stable polymorph in this dataset at 88 meV per atom. Its space-group type is Fm-3m. For the density, the calculation gives 3.2 g/cm3.

***

Record 2
The following is a DFT calculation (SCAN) of a PBEsol-optimized structure of Y2Be3.

POSCAR file:
```
Y2Be3
1.0
3.644 0.000 0.000
-1.822 3.156 0.000
0.000 0.000 7.705
Y Be
2 3
Direct
0.333 0.667 0.194
0.667 0.333 0.806
0.000 0.000 0.500
0.333 0.667 0.552
0.667 0.333 0.448
```

Values from the calculation:
Its space-group type is P-3m1. Its formation energy from the elements is -0.0829 eV per atom. For the density, the calculation gives 3.8 g/cm3.

***

Uncorrected energy (computed, eV/atom): -12.159 -13.832
Calculated volume (computed, Å³ per atom): 21.44 17.72
D(E_F) (computed, states/eV/cell): 0.4 2.6